Entry from the Alexandria database: a relaxed structure of VFe2SiO (PBE+U).

Unit cell a=4.093 b=4.427 c=4.093 alpha=90.00 beta=90.00 gamma=90.00
Element x y z (fractional)
Si 0.000 0.500 0.000
Fe 0.000 0.000 0.500
Fe 0.500 0.000 0.000
O 0.000 0.000 0.000
V 0.500 0.500 0.500

Computed properties:
DOS at the Fermi energy ... 1.38 states/eV/cell
Electronic total energy ... -5.56 eV per atom